Record 1
SnPIO2 | SCAN | single point on PBEsol structure

Geometry as POSCAR:
```
SnPIO2
1.0
-3.239 -0.416 2.451
-0.757 -3.669 -1.624
3.108 -2.288 3.719
Sn O P I
1 2 1 1
Direct
0.500 0.500 0.500
0.500 0.000 0.000
0.000 0.500 0.000
0.000 0.000 0.500
0.000 0.000 0.000
```

Values from the calculation:
Formation energy (no corrections) (eV/atom): 0.1885
Total magnetic moment (Bohr magnetons per cell): 0.000



Record 2
SnP2IO | SCAN | single point on PBEsol structure

Geometry as POSCAR:
```
SnP2IO
1.0
3.928 0.000 0.000
0.000 5.157 0.000
0.000 0.000 5.157
P I Sn O
2 1 1 1
Direct
0.000 0.000 0.500
0.000 0.500 0.000
0.000 0.000 0.000
0.500 0.500 0.500
0.500 0.000 0.000
```

Values from the calculation:
Formation energy (no corrections) (eV/atom): 0.7871
Total magnetic moment (Bohr magnetons per cell): 0.000



Record 3
Sr2PIO4 | SCAN | single point on PBEsol structure

Geometry as POSCAR:
```
Sr2PIO4
1.0
-0.016 -4.644 7.009
0.021 -7.400 -4.903
8.394 1.918 -2.859
O Sr I P
16 8 4 4
Direct
0.165 0.333 0.126
0.439 0.418 0.105
0.836 0.583 0.142
0.835 0.667 0.874
0.712 0.886 0.069
0.164 0.417 0.858
0.665 0.167 0.126
0.336 0.917 0.142
0.788 0.386 0.931
0.061 0.918 0.895
0.664 0.083 0.858
0.288 0.114 0.931
0.335 0.833 0.874
0.212 0.614 0.069
0.939 0.082 0.105
0.561 0.582 0.895
0.050 0.672 0.752
0.539 0.695 0.148
0.950 0.328 0.248
0.461 0.305 0.852
0.961 0.195 0.852
0.550 0.828 0.752
0.450 0.172 0.248
0.039 0.805 0.148
0.741 0.900 0.491
0.241 0.600 0.491
0.259 0.100 0.509
0.759 0.400 0.509
0.258 0.947 0.958
0.758 0.553 0.958
0.742 0.053 0.042
0.242 0.447 0.042
```

Values from the calculation:
Formation energy (no corrections) (eV/atom): -2.9889
Total magnetic moment (Bohr magnetons per cell): 0.000



Record 4
TePIO2 | SCAN | single point on PBEsol structure

Geometry as POSCAR:
```
TePIO2
1.0
3.959 0.000 0.000
0.000 3.959 0.000
0.000 0.000 6.618
O Te I P
2 1 1 1
Direct
0.000 0.500 0.000
0.500 0.000 0.000
0.000 0.000 0.000
0.000 0.000 0.500
0.500 0.500 0.500
```

Values from the calculation:
Formation energy (no corrections) (eV/atom): 0.1372
Total magnetic moment (Bohr magnetons per cell): 0.001
Energy relative to the lowest polymorph listed for this composition (meV per atom): 0